Here is an optimized crystal structure of Tb2Ga3GePt4 from Alexandria via LeMat-Bulk. Energies are from PBE.

```
Tb2Ga3GePt4
1.0
-2.5472 -1.7784 2.7801
2.9481 -2.8046 0.9071
3.8265 6.5013 7.6648
Pt Tb Ga Ge
4 2 3 1
direct
0.5000 0.0000 0.6360
0.5000 0.5000 0.0000
0.0000 0.5000 0.3640
0.0000 0.0000 0.0000
0.0000 0.5000 0.7449
0.5000 0.0000 0.2551
0.0000 0.0000 0.5000
0.0000 0.5000 0.1358
0.5000 0.0000 0.8642
0.5000 0.5000 0.5000
```

For the formation energy from the elements, the calculation gives -911 kJ/mol of formula units. The space-group type is P-4m2, No. 115. Its crystal system is tetragonal.